The following is a DFT calculation (PBE) of a relaxed KTi12Se16 crystal.

Values from the calculation:
VASP energy   -0.4750 Ry per atom
Density of states at the Fermi level   0.366 states/eV/atom
Volume   612.0 Å³/cell

Lattice parameters (Å, degrees): 7.122 9.961 10.578 61.92 70.33 90.00
Space group P-1 (No. 2)
Asymmetric unit:
K 0.000 0.000 0.000 x1
Ti 0.119 0.362 0.509 x2
Ti 0.190 0.490 0.871 x2
Ti 0.197 0.130 0.360 x2
Ti 0.307 0.871 0.638 x2
Ti 0.311 0.509 0.130 x2
Ti 0.378 0.640 0.490 x2
Se 0.041 0.667 0.667 x2
Se 0.050 0.051 0.647 x2
Se 0.152 0.699 0.949 x2
Se 0.225 0.649 0.300 x2
Se 0.277 0.353 0.698 x2
Se 0.350 0.300 0.051 x2
Se 0.450 0.949 0.351 x2
Se 0.458 0.334 0.334 x2